## NaNi2Pt2 (PBE)

Data for a relaxed structure of NaNi2Pt2.

Cell: 4.1964 4.1964 9.9703 Å, 90.00 90.00 90.00°
With the nearest neighbours (Å) after each atom.
Sites, in units of the cell vectors:
1 Na 0.0000 0.0000 0.0000  8 Pt 3.22, 8 Ni 3.26
2 Na 0.5000 0.5000 0.5000  8 Pt 3.22, 8 Ni 3.26
3 Ni 0.0000 0.5000 0.2500  4 Pt 2.44
4 Ni 0.0000 0.5000 0.7500  4 Pt 2.44
5 Ni 0.5000 0.0000 0.2500  4 Pt 2.44
6 Ni 0.5000 0.0000 0.7500  4 Pt 2.44
7 Pt 0.0000 0.0000 0.3751  4 Ni 2.44, 1 Pt 2.49
8 Pt 0.0000 0.0000 0.6249  4 Ni 2.44, 1 Pt 2.49
9 Pt 0.5000 0.5000 0.1249  4 Ni 2.44, 1 Pt 2.49
10 Pt 0.5000 0.5000 0.8751  4 Ni 2.44, 1 Pt 2.49

Values from the calculation:
The formation energy is 0.17 eV/atom. As for the total magnetization: 1.3 μB per cell. Its space group is No. 139. As for the total energy: -48.25 eV/cell. The calculation puts the offset from the most stable computed form at 117 kJ/mol of formula units.

---

## NaNi3Pt (PBE)

Data for a relaxed structure of NaNi3Pt.

Cell: 4.6837 4.6837 4.6837 Å, 90.00 90.00 90.00°
With the nearest neighbours (Å) after each atom.
Sites, in units of the cell vectors:
1 Na 0.0000 0.0000 0.0000  12 Ni 3.31
2 Ni 0.0000 0.5000 0.5000  2 Pt 2.34
3 Ni 0.5000 0.0000 0.5000  2 Pt 2.34
4 Ni 0.5000 0.5000 0.0000  2 Pt 2.34
5 Pt 0.5000 0.5000 0.5000  6 Ni 2.34

Values from the calculation:
The formation energy is 0.80 eV/atom. As for the total magnetization: 3.1 μB per cell. Its space group is No. 221. As for the total energy: -20.69 eV/cell. The calculation puts the offset from the most stable computed form at 0 kJ/mol of formula units.

---

## NaNi2Pt (PBE)

Data for a relaxed structure of NaNi2Pt.

Cell: 6.0810 6.0810 6.0810 Å, 90.00 90.00 90.00°
With the nearest neighbours (Å) after each atom.
Sites, in units of the cell vectors:
1 Na 0.0000 0.0000 0.0000  8 Ni 2.63
2 Na 0.0000 0.5000 0.5000  8 Ni 2.63
3 Na 0.5000 0.0000 0.5000  8 Ni 2.63
4 Na 0.5000 0.5000 0.0000  8 Ni 2.63
5 Ni 0.2500 0.2500 0.2500  4 Na 2.63, 4 Pt 2.63
6 Ni 0.2500 0.2500 0.7500  4 Na 2.63, 4 Pt 2.63
7 Ni 0.2500 0.7500 0.2500  4 Na 2.63, 4 Pt 2.63
8 Ni 0.2500 0.7500 0.7500  4 Na 2.63, 4 Pt 2.63
9 Ni 0.7500 0.2500 0.2500  4 Na 2.63, 4 Pt 2.63
10 Ni 0.7500 0.2500 0.7500  4 Na 2.63, 4 Pt 2.63
11 Ni 0.7500 0.7500 0.2500  4 Na 2.63, 4 Pt 2.63
12 Ni 0.7500 0.7500 0.7500  4 Na 2.63, 4 Pt 2.63
13 Pt 0.0000 0.0000 0.5000  8 Ni 2.63
14 Pt 0.0000 0.5000 0.0000  8 Ni 2.63
15 Pt 0.5000 0.0000 0.0000  8 Ni 2.63
16 Pt 0.5000 0.5000 0.5000  8 Ni 2.63

Values from the calculation:
The formation energy is 0.26 eV/atom. As for the total magnetization: 4.0 μB per cell. Its space group is No. 225. As for the total energy: -71.50 eV/cell. The calculation puts the offset from the most stable computed form at 0 kJ/mol of formula units.

---

## Na2NiPt (PBE)

Data for a relaxed structure of Na2NiPt.

Cell: 7.5865 7.5865 4.9232 Å, 90.00 90.00 90.00°
With the nearest neighbours (Å) after each atom.
Sites, in units of the cell vectors:
1 Na 0.2355 0.2500 0.1250  2 Na 2.47, 2 Ni 2.68
2 Na 0.2500 0.7355 0.3750  2 Na 2.47, 2 Ni 2.68
3 Na 0.2500 0.7645 0.8750  2 Na 2.47, 2 Ni 2.68
4 Na 0.2645 0.2500 0.6250  2 Na 2.47, 2 Ni 2.68
5 Na 0.7355 0.7500 0.6250  2 Na 2.47, 2 Ni 2.68
6 Na 0.7500 0.2355 0.8750  2 Na 2.47, 2 Ni 2.68
7 Na 0.7500 0.2645 0.3750  2 Na 2.47, 2 Ni 2.68
8 Na 0.7645 0.7500 0.1250  2 Na 2.47, 2 Ni 2.68
9 Ni 0.0000 0.0000 0.0000  2 Pt 2.46, 4 Na 2.68
10 Ni 0.0000 0.5000 0.2500  2 Pt 2.46, 4 Na 2.68
11 Ni 0.5000 0.0000 0.7500  2 Pt 2.46, 4 Na 2.68
12 Ni 0.5000 0.5000 0.5000  2 Pt 2.46, 4 Na 2.68
13 Pt 0.0000 0.0000 0.5000  2 Ni 2.46
14 Pt 0.0000 0.5000 0.7500  2 Ni 2.46
15 Pt 0.5000 0.0000 0.2500  2 Ni 2.46
16 Pt 0.5000 0.5000 0.0000  2 Ni 2.46

Values from the calculation:
The formation energy is 0.43 eV/atom. As for the total magnetization: 2.8 μB per cell. Its space group is No. 122. As for the total energy: -50.95 eV/cell. The calculation puts the offset from the most stable computed form at 0 kJ/mol of formula units.

---

## NaNiPt (PBE)

Data for a relaxed structure of NaNiPt.

Cell: 6.8929 6.8929 5.3841 Å, 90.00 90.00 90.00°
With the nearest neighbours (Å) after each atom.
Sites, in units of the cell vectors:
1 Na 0.2324 0.2324 0.0000  2 Ni 2.79, 3 Pt 2.91-3.01
2 Na 0.2676 0.7324 0.2500  2 Ni 2.79, 3 Pt 2.91-3.01
3 Na 0.7324 0.2676 0.7500  2 Ni 2.79, 3 Pt 2.91-3.01
4 Na 0.7676 0.7676 0.5000  2 Ni 2.79, 3 Pt 2.91-3.01
5 Ni 0.1924 0.8076 0.7500  3 Pt 2.35-2.40
6 Ni 0.3076 0.3076 0.5000  3 Pt 2.35-2.40
7 Ni 0.6924 0.6924 0.0000  3 Pt 2.35-2.40
8 Ni 0.8076 0.1924 0.2500  3 Pt 2.35-2.40
9 Pt 0.0665 0.0665 0.5000  3 Ni 2.35-2.40
10 Pt 0.4335 0.5665 0.7500  3 Ni 2.35-2.40
11 Pt 0.5665 0.4335 0.2500  3 Ni 2.35-2.40
12 Pt 0.9335 0.9335 0.0000  3 Ni 2.35-2.40

Values from the calculation:
The formation energy is 0.27 eV/atom. As for the total magnetization: 0.0 μB per cell. Its space group is No. 92. As for the total energy: -49.33 eV/cell. The calculation puts the offset from the most stable computed form at 117 kJ/mol of formula units.

---

## RbNaNi2Pt (PBE)

Data for a relaxed structure of RbNaNi2Pt.

Cell: 4.7126 4.7126 5.7655 Å, 90.00 90.00 90.00°
With the nearest neighbours (Å) after each atom.
Sites, in units of the cell vectors:
1 Rb 0.0000 0.0000 0.0000  2 Pt 2.88
2 Na 0.5000 0.5000 0.0000  4 Rb 3.33, 8 Ni 3.72
3 Ni 0.0000 0.5000 0.5000  2 Pt 2.36
4 Ni 0.5000 0.0000 0.5000  2 Pt 2.36
5 Pt 0.0000 0.0000 0.5000  4 Ni 2.36

Values from the calculation:
The formation energy is 0.71 eV/atom. As for the total magnetization: 1.9 μB per cell. Its space group is No. 123. As for the total energy: -16.32 eV/cell.

---

## Na2ReNiPt (PBE)

Data for a relaxed structure of Na2ReNiPt.

Cell: 5.5431 5.5431 4.7509 Å, 90.00 90.00 90.00°
With the nearest neighbours (Å) after each atom.
Sites, in units of the cell vectors:
1 Na 0.0000 0.5000 0.0000  2 Re 2.77
2 Na 0.5000 0.0000 0.0000  2 Re 2.77
3 Re 0.0000 0.0000 0.0000  2 Pt 2.38
4 Ni 0.5000 0.5000 0.5000  8 Na 3.65, 4 Pt 3.92
5 Pt 0.0000 0.0000 0.5000  2 Re 2.38

Values from the calculation:
The formation energy is 1.69 eV/atom. As for the total magnetization: 3.4 μB per cell. Its space group is No. 123. As for the total energy: -18.47 eV/cell.

---

## Na2NiSb2Pt (PBE)

Data for a relaxed structure of Na2NiSb2Pt.

Cell: 8.2079 8.2079 8.2079 Å, 134.71 65.97 134.72°
With the nearest neighbours (Å) after each atom.
Sites, in units of the cell vectors:
1 Na 0.1627 0.2354 0.3982  2 Pt 3.12, 2 Ni 3.21, 5 Sb 3.24-3.31
2 Na 0.3373 0.7354 0.0727  2 Pt 3.12, 2 Ni 3.21, 5 Sb 3.24-3.31
3 Na 0.6627 0.2646 0.9273  2 Pt 3.12, 2 Ni 3.21, 5 Sb 3.24-3.31
4 Na 0.8373 0.7646 0.6018  2 Pt 3.12, 2 Ni 3.21, 5 Sb 3.24-3.31
5 Ni 0.2500 0.7500 0.5000  4 Sb 2.56
6 Ni 0.7500 0.2500 0.5000  4 Sb 2.56
7 Sb 0.1007 0.7301 0.8308  2 Ni 2.56, 2 Pt 2.71
8 Sb 0.3993 0.2301 0.6295  2 Ni 2.56, 2 Pt 2.71
9 Sb 0.6007 0.7699 0.3705  2 Ni 2.56, 2 Pt 2.71
10 Sb 0.8993 0.2699 0.1692  2 Ni 2.56, 2 Pt 2.71
11 Pt 0.2500 0.2500 0.0000  4 Sb 2.71
12 Pt 0.7500 0.7500 0.0000  4 Sb 2.71

Values from the calculation:
The raw formation energy comes out at -0.342 eV/atom. As for the total magnetization: 0.0 μB per cell. Its space group is No. 72. As for the total energy: -49.51 eV/cell.